[1]
## Sm4Pu3ScSe8 (PBE)

Data for a geometry-optimized Sm4Pu3ScSe8 structure.

Properties
crystal system = monoclinic
theoretical density = 8.39 g/cm³
total magnetic moment = 5.80 μB per formula unit
uncorrected energy = -246.1 eV per cell
E_form (uncorrected) = -1.684 eV per atom

Cell and atoms, written as CIF:
```
data_Sm4Pu3ScSe8
_cell_length_a 14.243
_cell_length_b 8.241
_cell_length_c 8.265
_cell_angle_alpha 90.00
_cell_angle_beta 124.94
_cell_angle_gamma 90.00
_symmetry_space_group_name_H-M 'C 1 2/m 1'
_symmetry_Int_Tables_number 12
loop_
_symmetry_equiv_pos_as_xyz
'x,y,z'
'-x,-y,-z'
'-x,y,-z'
'x,-y,z'
'x+1/2,y+1/2,z'
'-x+1/2,-y+1/2,-z'
'-x+1/2,y+1/2,-z'
'x+1/2,-y+1/2,z'
loop_
_atom_site_label
_atom_site_type_symbol
_atom_site_fract_x
_atom_site_fract_y
_atom_site_fract_z
_atom_site_occupancy
Sm1 Sm 0.000 0.000 0.000 1
Sm2 Sm 0.000 0.500 0.000 1
Sm3 Sm 0.250 0.250 0.500 1
Pu1 Pu 0.000 0.000 0.500 1
Pu2 Pu 0.250 0.250 0.000 1
Sc1 Sc 0.000 0.500 0.500 1
Se1 Se 0.001 0.257 0.742 1
Se2 Se 0.243 0.500 0.745 1
Se3 Se 0.249 0.000 0.751 1
```

---

[2]
## TbPu2Sc3Se6 (PBE)

Data for a geometry-optimized TbPu2Sc3Se6 structure.

Properties
crystal system = monoclinic
theoretical density = 7.69 g/cm³
total magnetic moment = 11.74 μB per formula unit
uncorrected energy = -185.1 eV per cell
E_form (uncorrected) = -1.614 eV per atom

Cell and atoms, written as CIF:
```
data_TbPu2Sc3Se6
_cell_length_a 6.890
_cell_length_b 11.944
_cell_length_c 6.980
_cell_angle_alpha 90.00
_cell_angle_beta 109.25
_cell_angle_gamma 90.00
_symmetry_space_group_name_H-M 'C 1 2/m 1'
_symmetry_Int_Tables_number 12
loop_
_symmetry_equiv_pos_as_xyz
'x,y,z'
'-x,-y,-z'
'-x,y,-z'
'x,-y,z'
'x+1/2,y+1/2,z'
'-x+1/2,-y+1/2,-z'
'-x+1/2,y+1/2,-z'
'x+1/2,-y+1/2,z'
loop_
_atom_site_label
_atom_site_type_symbol
_atom_site_fract_x
_atom_site_fract_y
_atom_site_fract_z
_atom_site_occupancy
Tb1 Tb 0.000 0.000 0.000 1
Pu1 Pu 0.000 0.333 0.000 1
Sc1 Sc 0.000 0.167 0.500 1
Sc2 Sc 0.000 0.500 0.500 1
Se1 Se 0.242 0.000 0.731 1
Se2 Se 0.245 0.334 0.732 1
```

---

[3]
## Tb3PuSc2Se6 (PBE)

Data for a geometry-optimized Tb3PuSc2Se6 structure.

Properties
crystal system = monoclinic
theoretical density = 7.68 g/cm³
total magnetic moment = 6.08 μB per formula unit
uncorrected energy = -163.9 eV per cell
E_form (uncorrected) = -1.681 eV per atom

Cell and atoms, written as CIF:
```
data_Tb3PuSc2Se6
_cell_length_a 17.574
_cell_length_b 4.010
_cell_length_c 8.098
_cell_angle_alpha 90.00
_cell_angle_beta 103.35
_cell_angle_gamma 90.00
_symmetry_space_group_name_H-M 'C 1 2/m 1'
_symmetry_Int_Tables_number 12
loop_
_symmetry_equiv_pos_as_xyz
'x,y,z'
'-x,-y,-z'
'-x,y,-z'
'x,-y,z'
'x+1/2,y+1/2,z'
'-x+1/2,-y+1/2,-z'
'-x+1/2,y+1/2,-z'
'x+1/2,-y+1/2,z'
loop_
_atom_site_label
_atom_site_type_symbol
_atom_site_fract_x
_atom_site_fract_y
_atom_site_fract_z
_atom_site_occupancy
Tb1 Tb 0.000 0.000 0.000 1
Tb2 Tb 0.163 0.500 0.333 1
Pu1 Pu 0.000 0.000 0.500 1
Sc1 Sc 0.163 0.500 0.825 1
Se1 Se 0.004 0.500 0.755 1
Se2 Se 0.169 0.000 0.595 1
Se3 Se 0.172 0.000 0.073 1
```

---

[4]
## PuScTeSe (PBE)

Data for a geometry-optimized PuScTeSe structure.

Properties
crystal system = trigonal
theoretical density = 8.15 g/cm³
total magnetic moment = 5.95 μB per formula unit
uncorrected energy = -97.9 eV per cell
E_form (uncorrected) = -1.336 eV per atom

Cell and atoms, written as CIF:
```
data_PuScTeSe
_cell_length_a 4.0911
_cell_length_b 4.0911
_cell_length_c 20.8847
_cell_angle_alpha 90.00
_cell_angle_beta 90.00
_cell_angle_gamma 120.00
_symmetry_space_group_name_H-M 'R 3 m'
_symmetry_Int_Tables_number 160
_symmetry_space_group_name_Hall 'R 3 -2"'
loop_
_atom_site_label
_atom_site_type_symbol
_atom_site_fract_x
_atom_site_fract_y
_atom_site_fract_z
_atom_site_occupancy
Pu1 Pu 0.0000 0.0000 0.0000 1
Sc1 Sc 0.0000 0.0000 0.5173 1
Te1 Te 0.0000 0.0000 0.7653 1
Se1 Se 0.0000 0.0000 0.2521 1
```

---

[5]
## PuScTeSe2 (PBE)

Data for a geometry-optimized PuScTeSe2 structure.

Properties
crystal system = tetragonal
theoretical density = 7.07 g/cm³
total magnetic moment = 5.19 μB per formula unit
uncorrected energy = -72.0 eV per cell
E_form (uncorrected) = -1.043 eV per atom

Cell and atoms, written as CIF:
```
data_PuScTeSe2
_cell_length_a 4.428
_cell_length_b 4.428
_cell_length_c 13.758
_cell_angle_alpha 90.00
_cell_angle_beta 90.00
_cell_angle_gamma 90.00
_symmetry_space_group_name_H-M 'I 4 m m'
_symmetry_Int_Tables_number 107
_symmetry_space_group_name_Hall 'I 4 -2'
loop_
_atom_site_label
_atom_site_type_symbol
_atom_site_fract_x
_atom_site_fract_y
_atom_site_fract_z
_atom_site_occupancy
Pu1 Pu 0.000 0.000 0.000 1
Sc1 Sc 0.000 0.000 0.741 1
Te1 Te 0.000 0.000 0.385 1
Se1 Se 0.000 0.500 0.137 1
```

---

[6]
## Pu2Th3ScSe6 (PBE)

Data for a geometry-optimized Pu2Th3ScSe6 structure.

Properties
crystal system = monoclinic
theoretical density = 9.49 g/cm³
total magnetic moment = 11.17 μB per formula unit
uncorrected energy = -193.4 eV per cell
E_form (uncorrected) = -1.544 eV per atom

Cell and atoms, written as CIF:
```
data_Pu2Th3ScSe6
_cell_length_a 7.036
_cell_length_b 12.185
_cell_length_c 7.339
_cell_angle_alpha 90.00
_cell_angle_beta 108.68
_cell_angle_gamma 90.00
_symmetry_space_group_name_H-M 'C 1 2/m 1'
_symmetry_Int_Tables_number 12
loop_
_symmetry_equiv_pos_as_xyz
'x,y,z'
'-x,-y,-z'
'-x,y,-z'
'x,-y,z'
'x+1/2,y+1/2,z'
'-x+1/2,-y+1/2,-z'
'-x+1/2,y+1/2,-z'
'x+1/2,-y+1/2,z'
loop_
_atom_site_label
_atom_site_type_symbol
_atom_site_fract_x
_atom_site_fract_y
_atom_site_fract_z
_atom_site_occupancy
Pu1 Pu 0.000 0.166 0.000 1
Th1 Th 0.000 0.000 0.500 1
Th2 Th 0.000 0.329 0.500 1
Sc1 Sc 0.000 0.500 0.000 1
Se1 Se 0.238 0.339 0.231 1
Se2 Se 0.243 0.500 0.763 1
```

---

[7]
## PuSc2Tl3Se6 (PBE)

Data for a geometry-optimized PuSc2Tl3Se6 structure.

Properties
crystal system = monoclinic
theoretical density = 7.10 g/cm³
total magnetic moment = 5.00 μB per formula unit
uncorrected energy = -138.6 eV per cell
E_form (uncorrected) = -1.190 eV per atom

Cell and atoms, written as CIF:
```
data_PuSc2Tl3Se6
_cell_length_a 7.062
_cell_length_b 12.214
_cell_length_c 8.057
_cell_angle_alpha 90.00
_cell_angle_beta 106.96
_cell_angle_gamma 90.00
_symmetry_space_group_name_H-M 'C 1 2/m 1'
_symmetry_Int_Tables_number 12
loop_
_symmetry_equiv_pos_as_xyz
'x,y,z'
'-x,-y,-z'
'-x,y,-z'
'x,-y,z'
'x+1/2,y+1/2,z'
'-x+1/2,-y+1/2,-z'
'-x+1/2,y+1/2,-z'
'x+1/2,-y+1/2,z'
loop_
_atom_site_label
_atom_site_type_symbol
_atom_site_fract_x
_atom_site_fract_y
_atom_site_fract_z
_atom_site_occupancy
Pu1 Pu 0.000 0.000 0.000 1
Sc1 Sc 0.000 0.333 0.000 1
Tl1 Tl 0.000 0.163 0.500 1
Tl2 Tl 0.000 0.500 0.500 1
Se1 Se 0.216 0.500 0.196 1
Se2 Se 0.241 0.174 0.199 1
```

---

[8]
## Pu2ScTl3Se6 (PBE)

Data for a geometry-optimized Pu2ScTl3Se6 structure.

Properties
crystal system = monoclinic
theoretical density = 7.78 g/cm³
total magnetic moment = 10.00 μB per formula unit
uncorrected energy = -153.5 eV per cell
E_form (uncorrected) = -1.146 eV per atom

Cell and atoms, written as CIF:
```
data_Pu2ScTl3Se6
_cell_length_a 7.198
_cell_length_b 12.449
_cell_length_c 8.081
_cell_angle_alpha 90.00
_cell_angle_beta 107.24
_cell_angle_gamma 90.00
_symmetry_space_group_name_H-M 'C 1 2/m 1'
_symmetry_Int_Tables_number 12
loop_
_symmetry_equiv_pos_as_xyz
'x,y,z'
'-x,-y,-z'
'-x,y,-z'
'x,-y,z'
'x+1/2,y+1/2,z'
'-x+1/2,-y+1/2,-z'
'-x+1/2,y+1/2,-z'
'x+1/2,-y+1/2,z'
loop_
_atom_site_label
_atom_site_type_symbol
_atom_site_fract_x
_atom_site_fract_y
_atom_site_fract_z
_atom_site_occupancy
Pu1 Pu 0.000 0.166 0.000 1
Sc1 Sc 0.000 0.500 0.000 1
Tl1 Tl 0.000 0.000 0.500 1
Tl2 Tl 0.000 0.330 0.500 1
Se1 Se 0.226 0.340 0.199 1
Se2 Se 0.248 0.000 0.203 1
```

---

[9]
## TmPu2ScSe4 (PBE)

Data for a geometry-optimized TmPu2ScSe4 structure.

Properties
crystal system = monoclinic
theoretical density = 9.03 g/cm³
total magnetic moment = 0.02 μB per formula unit
uncorrected energy = -66.1 eV per cell
E_form (uncorrected) = -1.591 eV per atom

Cell and atoms, written as CIF:
```
data_TmPu2ScSe4
_cell_length_a 6.973
_cell_length_b 4.035
_cell_length_c 7.055
_cell_angle_alpha 90.00
_cell_angle_beta 109.41
_cell_angle_gamma 90.00
_symmetry_space_group_name_H-M 'P 1 2/m 1'
_symmetry_Int_Tables_number 10
loop_
_symmetry_equiv_pos_as_xyz
'x,y,z'
'-x,-y,-z'
'-x,y,-z'
'x,-y,z'
loop_
_atom_site_label
_atom_site_type_symbol
_atom_site_fract_x
_atom_site_fract_y
_atom_site_fract_z
_atom_site_occupancy
Tm1 Tm 0.000 0.000 0.000 1
Pu1 Pu 0.500 0.000 0.500 1
Pu2 Pu 0.500 0.500 0.000 1
Sc1 Sc 0.000 0.500 0.500 1
Se1 Se 0.234 0.000 0.741 1
Se2 Se 0.237 0.500 0.251 1
```

---

[10]
## Tm3PuSc2Se6 (PBE)

Data for a geometry-optimized Tm3PuSc2Se6 structure.

Properties
crystal system = monoclinic
theoretical density = 8.09 g/cm³
total magnetic moment = 6.13 μB per formula unit
uncorrected energy = -161.8 eV per cell
E_form (uncorrected) = -1.632 eV per atom

Cell and atoms, written as CIF:
```
data_Tm3PuSc2Se6
_cell_length_a 17.401
_cell_length_b 3.973
_cell_length_c 8.016
_cell_angle_alpha 90.00
_cell_angle_beta 103.22
_cell_angle_gamma 90.00
_symmetry_space_group_name_H-M 'C 1 2/m 1'
_symmetry_Int_Tables_number 12
loop_
_symmetry_equiv_pos_as_xyz
'x,y,z'
'-x,-y,-z'
'-x,y,-z'
'x,-y,z'
'x+1/2,y+1/2,z'
'-x+1/2,-y+1/2,-z'
'-x+1/2,y+1/2,-z'
'x+1/2,-y+1/2,z'
loop_
_atom_site_label
_atom_site_type_symbol
_atom_site_fract_x
_atom_site_fract_y
_atom_site_fract_z
_atom_site_occupancy
Tm1 Tm 0.000 0.000 0.000 1
Tm2 Tm 0.163 0.500 0.333 1
Pu1 Pu 0.000 0.000 0.500 1
Sc1 Sc 0.162 0.500 0.825 1
Se1 Se 0.003 0.500 0.758 1
Se2 Se 0.171 0.000 0.077 1
Se3 Se 0.171 0.000 0.591 1
```

---

[11]
## TmPuSc2Se4 (PBE)

Data for a geometry-optimized TmPuSc2Se4 structure.

Properties
crystal system = monoclinic
theoretical density = 7.66 g/cm³
total magnetic moment = 5.90 μB per formula unit
uncorrected energy = -58.3 eV per cell
E_form (uncorrected) = -1.608 eV per atom

Cell and atoms, written as CIF:
```
data_TmPuSc2Se4
_cell_length_a 6.890
_cell_length_b 3.955
_cell_length_c 6.897
_cell_angle_alpha 90.00
_cell_angle_beta 109.09
_cell_angle_gamma 90.00
_symmetry_space_group_name_H-M 'P 1 2/m 1'
_symmetry_Int_Tables_number 10
loop_
_symmetry_equiv_pos_as_xyz
'x,y,z'
'-x,-y,-z'
'-x,y,-z'
'x,-y,z'
loop_
_atom_site_label
_atom_site_type_symbol
_atom_site_fract_x
_atom_site_fract_y
_atom_site_fract_z
_atom_site_occupancy
Tm1 Tm 0.000 0.000 0.000 1
Pu1 Pu 0.000 0.500 0.500 1
Sc1 Sc 0.500 0.000 0.500 1
Sc2 Sc 0.500 0.500 0.000 1
Se1 Se 0.263 0.500 0.249 1
Se2 Se 0.266 0.000 0.760 1
```

---

[12]
## Tm2PuScSe4 (PBE)

Data for a geometry-optimized Tm2PuScSe4 structure.

Properties
crystal system = monoclinic
theoretical density = 8.55 g/cm³
total magnetic moment = 5.96 μB per formula unit
uncorrected energy = -56.5 eV per cell
E_form (uncorrected) = -1.624 eV per atom

Cell and atoms, written as CIF:
```
data_Tm2PuScSe4
_cell_length_a 6.958
_cell_length_b 3.999
_cell_length_c 6.967
_cell_angle_alpha 90.00
_cell_angle_beta 109.13
_cell_angle_gamma 90.00
_symmetry_space_group_name_H-M 'P 1 2/m 1'
_symmetry_Int_Tables_number 10
loop_
_symmetry_equiv_pos_as_xyz
'x,y,z'
'-x,-y,-z'
'-x,y,-z'
'x,-y,z'
loop_
_atom_site_label
_atom_site_type_symbol
_atom_site_fract_x
_atom_site_fract_y
_atom_site_fract_z
_atom_site_occupancy
Tm1 Tm 0.000 0.000 0.000 1
Tm2 Tm 0.000 0.500 0.500 1
Pu1 Pu 0.500 0.000 0.500 1
Sc1 Sc 0.500 0.500 0.000 1
Se1 Se 0.246 0.500 0.241 1
Se2 Se 0.252 0.000 0.759 1
```

---

Q: The highest total magnetic moment belongs to which entry?
A: TbPu2Sc3Se6

---

Please write out number 6 again, unchanged.
## Pu2Th3ScSe6 (PBE)

Data for a geometry-optimized Pu2Th3ScSe6 structure.

Properties
crystal system = monoclinic
theoretical density = 9.49 g/cm³
total magnetic moment = 11.17 μB per formula unit
uncorrected energy = -193.4 eV per cell
E_form (uncorrected) = -1.544 eV per atom

Cell and atoms, written as CIF:
```
data_Pu2Th3ScSe6
_cell_length_a 7.036
_cell_length_b 12.185
_cell_length_c 7.339
_cell_angle_alpha 90.00
_cell_angle_beta 108.68
_cell_angle_gamma 90.00
_symmetry_space_group_name_H-M 'C 1 2/m 1'
_symmetry_Int_Tables_number 12
loop_
_symmetry_equiv_pos_as_xyz
'x,y,z'
'-x,-y,-z'
'-x,y,-z'
'x,-y,z'
'x+1/2,y+1/2,z'
'-x+1/2,-y+1/2,-z'
'-x+1/2,y+1/2,-z'
'x+1/2,-y+1/2,z'
loop_
_atom_site_label
_atom_site_type_symbol
_atom_site_fract_x
_atom_site_fract_y
_atom_site_fract_z
_atom_site_occupancy
Pu1 Pu 0.000 0.166 0.000 1
Th1 Th 0.000 0.000 0.500 1
Th2 Th 0.000 0.329 0.500 1
Sc1 Sc 0.000 0.500 0.000 1
Se1 Se 0.238 0.339 0.231 1
Se2 Se 0.243 0.500 0.763 1
```

---

Q: total magnetic moment of number 5 (PuScTeSe2)?
A: 5.19 μB per formula unit